Material: AcZn2Ag8
Method: DFT, PBE
State: optimized geometry

The structure in POSCAR format:
```
AcZn2Ag8
1.0
-1.617 1.476 5.100
-4.492 -3.223 -0.491
4.560 -6.879 3.437
Zn Ag Ac
2 8 1
Direct
0.000 0.500 0.000
0.500 0.000 0.000
0.752 0.752 0.208
0.752 0.248 0.792
0.248 0.752 0.208
0.248 0.752 0.792
0.248 0.248 0.208
0.752 0.752 0.792
0.752 0.248 0.208
0.248 0.248 0.792
0.500 0.500 0.500
```

The total energy comes out at -27.138 eV/f.u. Its energy relative to the elements is 2.3 eV per formula unit. Its space-group type is No. 123.